VASP calculation (PBE) on a relaxed NaMg3Te3 crystal.

Geometry as POSCAR:
```
NaMg3Te3
1.0
-7.650 -3.415 -2.873
-0.442 -3.755 -8.009
-1.203 -7.805 -1.170
Na Mg Te
2 6 6
Cartesian
-3.901 -10.192 -4.799 Na
-5.394 -4.783 -7.253 Na
-4.313 -9.955 -8.222 Mg
-6.846 -8.663 -3.833 Mg
-1.774 -7.504 -4.363 Mg
-7.521 -7.472 -7.689 Mg
-2.449 -6.313 -8.219 Mg
-4.982 -5.020 -3.830 Mg
-2.532 -4.950 -5.624 Te
-7.465 -6.035 -5.014 Te
-5.089 -7.334 -9.321 Te
-4.206 -7.642 -2.731 Te
-1.830 -8.941 -7.039 Te
-6.763 -10.025 -6.428 Te
```

Values from the calculation:
Space group   No. 148
Fermi-level density of states   0.25 states/eV per atom
Final energy   -2.89 eV/atom
Raw formation energy   -0.67 eV per atom